Density functional theory data (PBE-GGA) for a relaxed structure of TaTcMo2.

Values from the calculation:
DOS at the Fermi energy: 0.71 states/eV/atom
Relative energy among the computed polymorphs: 0.087 eV per atom
Crystal system: monoclinic

Structure (CIF):
```
data_TaTcMo2
_chemical_formula_sum 'Ta1 Tc1 Mo2'
_space_group_name_H-M_alt 'P 1 2/m 1'
_space_group_IT_number 10
_space_group_name_Hall '-P 2y'
_cell_length_a 2.7888
_cell_length_b 4.4908
_cell_length_c 5.2182
_cell_angle_alpha 90.00
_cell_angle_beta 100.76
_cell_angle_gamma 90.00
loop_
_atom_site_label
_atom_site_fract_x
_atom_site_fract_y
_atom_site_fract_z
_atom_site_occupancy
Ta1 0.0000 0.0000 0.0000 1
Tc1 0.5000 0.0000 0.5000 1
Mo1 0.2511 0.5000 0.7489 1
```

=====

Density functional theory data (PBE-GGA) for a relaxed structure of K2TlHgBi.

Values from the calculation:
Uncorrected energy: -1.8125 eV/atom
DOS at the Fermi energy: 0.82 states/eV/atom
Crystal system: tetragonal

Structure (CIF):
```
data_K2TlHgBi
_chemical_formula_sum 'K2 Tl1 Hg1 Bi1'
_space_group_name_H-M_alt 'P 4/m m m'
_space_group_IT_number 123
_space_group_name_Hall '-P 4 2'
_cell_length_a 6.8405
_cell_length_b 6.8405
_cell_length_c 6.1715
_cell_angle_alpha 90.00
_cell_angle_beta 90.00
_cell_angle_gamma 90.00
loop_
_atom_site_label
_atom_site_fract_x
_atom_site_fract_y
_atom_site_fract_z
_atom_site_occupancy
K1 0.0000 0.5000 0.0000 1
Tl1 0.0000 0.0000 0.5000 1
Hg1 0.5000 0.5000 0.5000 1
Bi1 0.0000 0.0000 0.0000 1
```